{"formula": "GaCoBi2Se", "functional": "PBE", "state": "relaxed", "cell": [[5.786, 0.000, 0.000], [0.000, 5.786, 0.000], [0.000, 0.000, 4.257]], "species": ["Ga", "Co", "Bi", "Bi", "Se"], "frac_coords": [[0.000, 0.000, 0.000], [0.500, 0.500, 0.000], [0.000, 0.500, 0.500], [0.500, 0.000, 0.500], [0.500, 0.500, 0.500]], "total_magnetization_mub_per_cell": 1.1, "final_energy_ev_per_atom": -3.741, "spacegroup": "P4/mmm (123)", "n_ef_per_ev_cell": 4.95}